1 | Below is crystalline TbPmCuRh at its relaxed geometry, with properties calculated at the GGA-PBE level.

a = 7.012 Å, b = 7.012 Å, c = 7.012 Å
α = 90.00°, β = 90.00°, γ = 90.00°
Space group F-43m (No. 216)
One atom of each set of equivalent atoms:
Tb  0.000  0.000  0.000 (multiplicity 4)
Pm  0.000  0.000  0.500 (multiplicity 4)
Cu  0.250  0.250  0.250 (multiplicity 4)
Rh  0.250  0.250  0.750 (multiplicity 4)

Computed properties:
The density of states at the Fermi level is 13.7 states/eV per cell.

***

2 | Below is crystalline TbPmCuRh at its relaxed geometry, with properties calculated at the GGA-PBE level.

a = 4.421 Å, b = 3.848 Å, c = 10.517 Å
α = 90.00°, β = 90.00°, γ = 90.00°
Space group Amm2 (No. 38)
One atom of each set of equivalent atoms:
Tb  0.000  0.000  0.000 (multiplicity 2)
Pm  0.500  0.000  0.277 (multiplicity 2)
Cu  0.000  0.000  0.710 (multiplicity 2)
Rh  0.500  0.000  0.554 (multiplicity 2)

Computed properties:
The density of states at the Fermi level is 5.5 states/eV per cell.

***

Which of them is most stable? Easy: 2.

***

1 | Below is crystalline PmThCuRh at its relaxed geometry, with properties calculated at the GGA-PBE level.

a = 4.064 Å, b = 3.932 Å, c = 11.850 Å
α = 90.00°, β = 90.00°, γ = 90.00°
Space group Amm2 (No. 38)
One atom of each set of equivalent atoms:
Pm  0.000  0.000  0.000 (multiplicity 2)
Th  0.500  0.000  0.272 (multiplicity 2)
Cu  0.500  0.000  0.573 (multiplicity 2)
Rh  0.000  0.000  0.738 (multiplicity 2)

Computed properties:
The density of states at the Fermi level is 6.0 states/eV per cell.

***

2 | Below is crystalline PmThCuRh at its relaxed geometry, with properties calculated at the GGA-PBE level.

a = 7.124 Å, b = 7.124 Å, c = 7.124 Å
α = 90.00°, β = 90.00°, γ = 90.00°
Space group F-43m (No. 216)
One atom of each set of equivalent atoms:
Pm  0.000  0.000  0.000 (multiplicity 4)
Th  0.000  0.000  0.500 (multiplicity 4)
Cu  0.250  0.250  0.750 (multiplicity 4)
Rh  0.250  0.250  0.250 (multiplicity 4)

Computed properties:
The density of states at the Fermi level is 13.9 states/eV per cell.

***

Which of them is most stable? Easy: 1.

***

1 | Below is crystalline PmYCuRh at its relaxed geometry, with properties calculated at the GGA-PBE level.

a = 7.010 Å, b = 7.010 Å, c = 7.010 Å
α = 90.00°, β = 90.00°, γ = 90.00°
Space group F-43m (No. 216)
One atom of each set of equivalent atoms:
Pm  0.000  0.000  0.000 (multiplicity 4)
Y  0.000  0.000  0.500 (multiplicity 4)
Cu  0.250  0.250  0.250 (multiplicity 4)
Rh  0.250  0.250  0.750 (multiplicity 4)

Computed properties:
The density of states at the Fermi level is 14.1 states/eV per cell.

***

2 | Below is crystalline PmYCuRh at its relaxed geometry, with properties calculated at the GGA-PBE level.

a = 4.431 Å, b = 3.852 Å, c = 10.493 Å
α = 90.00°, β = 90.00°, γ = 90.00°
Space group Amm2 (No. 38)
One atom of each set of equivalent atoms:
Pm  0.000  0.000  0.000 (multiplicity 2)
Y  0.500  0.000  0.722 (multiplicity 2)
Cu  0.500  0.000  0.432 (multiplicity 2)
Rh  0.000  0.000  0.279 (multiplicity 2)

Computed properties:
The density of states at the Fermi level is 6.0 states/eV per cell.

***

Which of them is most stable? Easy: 2.

***

1 | Below is crystalline Pm4CuRu2 at its relaxed geometry, with properties calculated at the GGA-PBE level.

a = 14.080 Å, b = 6.957 Å, c = 9.831 Å
α = 90.00°, β = 134.27°, γ = 90.00°
Space group C2/m (No. 12)
One atom of each set of equivalent atoms:
Pm  0.005  0.249  0.256 (multiplicity 8)
Pm  0.249  0.250  0.255 (multiplicity 8)
Cu  0.242  0.000  0.992 (multiplicity 4)
Ru  0.000  0.000  0.000 (multiplicity 2)
Ru  0.000  0.000  0.500 (multiplicity 2)
Ru  0.245  0.000  0.495 (multiplicity 4)

Computed properties:
The density of states at the Fermi level is 19.8 states/eV per cell.

***

2 | Below is crystalline Pm4CuRu2 at its relaxed geometry, with properties calculated at the GGA-PBE level.

a = 4.9459 Å, b = 4.9459 Å, c = 24.1109 Å
α = 90.00°, β = 90.00°, γ = 120.00°
Space group R-3m (No. 166, hexagonal axes)
One atom of each set of equivalent atoms:
Pm  0.0000  0.0000  0.1229 (multiplicity 6)
Pm  0.0000  0.0000  0.3731 (multiplicity 6)
Cu  0.0000  0.0000  0.5000 (multiplicity 3)
Ru  0.0000  0.0000  0.2483 (multiplicity 6)

Computed properties:
The density of states at the Fermi level is 6.6 states/eV per cell.

***

Which of them is most stable? Easy: 2.

***

1 | Below is crystalline PmCuRu at its relaxed geometry, with properties calculated at the GGA-PBE level.

a = 4.2214 Å, b = 4.2214 Å, c = 3.8909 Å
α = 90.00°, β = 90.00°, γ = 120.00°
Space group P-6m2 (No. 187)
One atom of each set of equivalent atoms:
Pm  0.0000  0.0000  0.0000 (multiplicity 1)
Cu  0.6667  0.3333  0.5000 (multiplicity 1)
Ru  0.3333  0.6667  0.5000 (multiplicity 1)

Computed properties:
The density of states at the Fermi level is 2.4 states/eV per cell.

***

2 | Below is crystalline PmCuRu at its relaxed geometry, with properties calculated at the GGA-PBE level.

a = 3.445 Å, b = 3.445 Å, c = 9.506 Å
α = 90.00°, β = 90.00°, γ = 90.00°
Space group I4mm (No. 107)
One atom of each set of equivalent atoms:
Pm  0.000  0.000  0.000 (multiplicity 2)
Cu  0.000  0.000  0.704 (multiplicity 2)
Ru  0.000  0.000  0.308 (multiplicity 2)

Computed properties:
The density of states at the Fermi level is 4.2 states/eV per cell.

***

Which of them is most stable? Easy: 1.

***

1 | Below is crystalline PmCuRu at its relaxed geometry, with properties calculated at the GGA-PBE level.

a = 5.205 Å, b = 5.260 Å, c = 7.896 Å
α = 90.00°, β = 90.00°, γ = 90.00°
Space group Imma (No. 74)
One atom of each set of equivalent atoms:
Pm  0.000  0.250  0.128 (multiplicity 4)
Cu  0.250  0.250  0.750 (multiplicity 4)
Ru  0.000  0.000  0.500 (multiplicity 4)

Computed properties:
The density of states at the Fermi level is 7.8 states/eV per cell.

***

2 | Below is crystalline PmCuRu at its relaxed geometry, with properties calculated at the GGA-PBE level.

a = 4.985 Å, b = 8.033 Å, c = 5.599 Å
α = 90.00°, β = 90.00°, γ = 90.00°
Space group Cmcm (No. 63)
One atom of each set of equivalent atoms:
Pm  0.000  0.156  0.250 (multiplicity 4)
Cu  0.000  0.198  0.750 (multiplicity 4)
Ru  0.000  0.500  0.000 (multiplicity 4)

Computed properties:
The density of states at the Fermi level is 7.3 states/eV per cell.

***

Which of them is most stable? Easy: 1.

***

1 | Below is crystalline Pm4CuRu at its relaxed geometry, with properties calculated at the GGA-PBE level.

a = 13.719 Å, b = 13.719 Å, c = 13.719 Å
α = 90.00°, β = 90.00°, γ = 90.00°
Space group F-43m (No. 216)
One atom of each set of equivalent atoms:
Pm  0.000  0.000  0.188 (multiplicity 24)
Pm  0.058  0.250  0.250 (multiplicity 24)
Pm  0.101  0.101  0.601 (multiplicity 16)
Cu  0.160  0.160  0.840 (multiplicity 16)
Ru  0.111  0.111  0.389 (multiplicity 16)

Computed properties:
The density of states at the Fermi level is 98.8 states/eV per cell.

***

2 | Below is crystalline Pm4CuRu at its relaxed geometry, with properties calculated at the GGA-PBE level.

a = 6.981 Å, b = 6.981 Å, c = 6.983 Å
α = 90.00°, β = 90.07°, γ = 90.00°
Space group C2/m (No. 12)
One atom of each set of equivalent atoms:
Pm  0.249  0.249  0.243 (multiplicity 8)
Cu  0.000  0.000  0.500 (multiplicity 2)
Ru  0.000  0.500  0.000 (multiplicity 2)

Computed properties:
The density of states at the Fermi level is 15.4 states/eV per cell.

***

Which of them is most stable? Easy: 1.

***

1 | Below is crystalline Pm2CuS at its relaxed geometry, with properties calculated at the GGA-PBE level.

a = 4.010 Å, b = 23.435 Å, c = 4.038 Å
α = 90.00°, β = 90.00°, γ = 90.00°
Space group Cmcm (No. 63)
One atom of each set of equivalent atoms:
Pm  0.000  0.071  0.250 (multiplicity 4)
Pm  0.000  0.311  0.250 (multiplicity 4)
Cu  0.000  0.465  0.250 (multiplicity 4)
S  0.000  0.191  0.250 (multiplicity 4)

Computed properties:
The density of states at the Fermi level is 10.7 states/eV per cell.

***

2 | Below is crystalline Pm2CuS at its relaxed geometry, with properties calculated at the GGA-PBE level.

a = 3.545 Å, b = 3.545 Å, c = 7.022 Å
α = 90.00°, β = 90.00°, γ = 90.00°
Space group P4/mmm (No. 123)
One atom of each set of equivalent atoms:
Pm  0.000  0.000  0.246 (multiplicity 2)
Cu  0.500  0.500  0.500 (multiplicity 1)
S  0.500  0.500  0.000 (multiplicity 1)

Computed properties:
The density of states at the Fermi level is 3.3 states/eV per cell.

***

Which of them is most stable? Easy: 1.